## A
# PrSm12Dy6

A geometry-optimized PrSm12Dy6 structure (PBE, Alexandria via LeMat-Bulk).

Output
The value obtained for the volume is 33.9 Å³ per atom.

```
PrSm12Dy6
1.0
8.565 0.697 0.835
-0.609 8.571 0.835
-0.609 -0.710 8.583
Sm Dy Pr
12 6 1
Cartesian
2.911 6.590 5.632
6.073 4.849 4.821
1.274 3.710 5.433
-0.211 1.470 3.273
3.872 3.539 7.491
5.862 5.342 9.654
7.557 7.089 6.981
3.474 5.020 2.763
1.485 3.217 0.599
4.435 1.969 4.621
2.955 0.240 2.031
4.391 8.319 8.223
1.603 5.922 8.620
5.611 8.038 3.982
1.736 0.521 6.271
5.744 2.637 1.633
7.095 2.709 7.367
0.252 5.850 2.886
0.000 0.000 0.000
```

***

## B
# PrSm12Dy6

A geometry-optimized PrSm12Dy6 structure (PBE, Alexandria via LeMat-Bulk).

Output
The value obtained for the volume is 34.5 Å³ per atom.

```
PrSm12Dy6
1.0
8.715 -0.166 -1.207
-1.364 8.609 -1.207
-0.144 -0.166 8.797
Sm Dy Pr
12 6 1
Cartesian
0.186 2.988 2.598
7.021 5.290 3.784
2.934 0.596 2.598
4.273 7.682 3.784
2.602 2.988 -0.130
3.288 6.411 0.602
3.919 1.868 5.781
1.310 4.139 5.781
6.213 1.868 3.191
5.897 4.139 0.602
0.995 6.411 3.191
4.606 5.290 6.512
1.608 7.549 6.426
-0.049 5.646 -0.043
7.256 2.632 6.426
6.573 7.549 0.819
0.634 0.729 5.564
5.599 0.729 -0.043
0.000 0.000 0.000
```

***

Winner for stability: A